1.
Material: CsBaBr
Method: DFT, GGA-PBE
State: relaxed

Lattice parameters (Å, degrees): 17.6285 4.8397 8.5866 90.00 95.06 90.00
With the nearest neighbours (Å) after each atom.
Space group C2/m (No. 12)
One atom of each set of equivalent atoms:
Cs  0.1239  0.0000  0.0260 [4 per cell]  4 Br 3.87-3.89
Ba  0.1414  0.5000  0.5226 [4 per cell]  2 Br 3.30-3.31
Br  0.0012  0.5000  0.7541 [4 per cell]  2 Ba 3.30-3.31

ΔE_f (raw): -1.01 eV/atom
Polymorph energy (0 for the lowest one): 40 meV per atom

=====

2.
Material: Cs3Ba5Br12
Method: DFT, GGA-PBE
State: relaxed

Lattice parameters (Å, degrees): 20.2882 20.2882 20.2882 90.00 90.00 90.00
With the nearest neighbours (Å) after each atom.
Space group Ia-3d (No. 230)
One atom of each set of equivalent atoms:
Cs  0.0000  0.2500  0.1250 [24 per cell]  8 Br 3.86-3.95
Ba  0.0000  0.0000  0.0000 [16 per cell]  6 Br 3.27
Ba  0.0000  0.2500  0.3750 [24 per cell]  4 Br 3.12
Br  0.0251  0.0583  0.6483 [96 per cell]  2 Ba 3.12-3.27

ΔE_f (raw): -1.93 eV/atom

=====

3.
Material: CsBa2Br2
Method: DFT, GGA-PBE
State: relaxed

Lattice parameters (Å, degrees): 5.4803 5.4803 17.1442 90.00 90.00 90.00
With the nearest neighbours (Å) after each atom.
Space group I4/mmm (No. 139)
One atom of each set of equivalent atoms:
Cs  0.0000  0.0000  0.0000 [2 per cell]  8 Br 4.42
Ba  0.0000  0.5000  0.2500 [4 per cell]  4 Br 3.49, 4 Ba 3.88
Br  0.0000  0.0000  0.3760 [4 per cell]  4 Ba 3.49

ΔE_f (raw): -1.07 eV/atom
Polymorph energy (0 for the lowest one): 99 meV per atom